Record 1
# RbSiNO2 meta-GGA SCAN PBEsol geometry
# - symmetry = P4/mmm, No. 123
# - magnetic moment (μB/f.u.) = 1.51
# - energy relative to the elements, uncorrected (meV per atom) = 2045
# - total DFT energy (no corrections) (eV per atom) = -8.4565
# - DOS(E_F) (states/eV/cell) = 2.87
data_RbSiNO2
_cell_length_a 4.2977
_cell_length_b 4.2977
_cell_length_c 4.4071
_cell_angle_alpha 90.00
_cell_angle_beta 90.00
_cell_angle_gamma 90.00
_space_group_name_H-M_alt 'P 1'
_space_group_IT_number 1
loop_
_space_group_symop_operation_xyz
'x,y,z'
loop_
_atom_site_label
_atom_site_fract_x
_atom_site_fract_y
_atom_site_fract_z
Si1 0.5000 0.5000 0.5000
O1 0.0000 0.5000 0.0000
O2 0.5000 0.0000 0.0000
Rb1 0.0000 0.0000 0.0000
N1 0.0000 0.0000 0.5000

Record 2
# H12WC2S4N2 meta-GGA SCAN PBEsol geometry
# - symmetry = Pnma, No. 62
# - magnetic moment (μB/f.u.) = 0.00
# - total DFT energy (no corrections) (eV per atom) = -9.3292
# - DOS(E_F) (states/eV/cell) = 0.00
data_H12WC2S4N2
_cell_length_a 6.9307
_cell_length_b 9.3511
_cell_length_c 15.8866
_cell_angle_alpha 90.00
_cell_angle_beta 90.00
_cell_angle_gamma 90.00
_space_group_name_H-M_alt 'P 1'
_space_group_IT_number 1
loop_
_space_group_symop_operation_xyz
'x,y,z'
loop_
_atom_site_label
_atom_site_fract_x
_atom_site_fract_y
_atom_site_fract_z
H1 0.6292 0.6240 0.8925
H2 0.8708 0.1240 0.6075
H3 0.1292 0.3760 0.1075
H4 0.3708 0.8760 0.3925
H5 0.3708 0.3760 0.1075
H6 0.1292 0.8760 0.3925
H7 0.8708 0.6240 0.8925
H8 0.6292 0.1240 0.6075
H9 0.7500 0.4658 0.9063
H10 0.7500 0.9658 0.5937
H11 0.2500 0.5342 0.0937
H12 0.2500 0.0342 0.4063
H13 0.6207 0.4801 0.7648
H14 0.8793 0.9801 0.7352
H15 0.1207 0.5199 0.2352
H16 0.3793 0.0199 0.2648
H17 0.3793 0.5199 0.2352
H18 0.1207 0.0199 0.2648
H19 0.8793 0.4801 0.7648
H20 0.6207 0.9801 0.7352
H21 0.7500 0.6445 0.7499
H22 0.7500 0.1445 0.7501
H23 0.2500 0.3555 0.2501
H24 0.2500 0.8555 0.2499
H25 0.6286 0.8713 0.0600
H26 0.8714 0.3713 0.4400
H27 0.1286 0.1287 0.9400
H28 0.3714 0.6287 0.5600
H29 0.3714 0.1287 0.9400
H30 0.1286 0.6287 0.5600
H31 0.8714 0.8713 0.0600
H32 0.6286 0.3713 0.4400
H33 0.7500 0.7163 0.0714
H34 0.7500 0.2163 0.4286
H35 0.2500 0.2837 0.9286
H36 0.2500 0.7837 0.5714
H37 0.8798 0.7899 0.2056
H38 0.6202 0.2899 0.2944
H39 0.3798 0.2101 0.7944
H40 0.1202 0.7101 0.7056
H41 0.1202 0.2101 0.7944
H42 0.3798 0.7101 0.7056
H43 0.6202 0.7899 0.2056
H44 0.8798 0.2899 0.2944
H45 0.7500 0.9562 0.1948
H46 0.7500 0.4562 0.3052
H47 0.2500 0.0438 0.8052
H48 0.2500 0.5438 0.6948
W1 0.7500 0.2494 0.0485
W2 0.7500 0.7494 0.4515
W3 0.2500 0.7506 0.9515
W4 0.2500 0.2506 0.5485
C1 0.7500 0.5409 0.7827
C2 0.7500 0.0409 0.7173
C3 0.2500 0.4591 0.2173
C4 0.2500 0.9591 0.2827
C5 0.7500 0.8413 0.1799
C6 0.7500 0.3413 0.3201
C7 0.2500 0.1587 0.8201
C8 0.2500 0.6587 0.6799
S1 0.7500 0.4749 0.0874
S2 0.7500 0.9749 0.4126
S3 0.2500 0.5251 0.9126
S4 0.2500 0.0251 0.5874
S5 0.7500 0.2318 0.9107
S6 0.7500 0.7318 0.5893
S7 0.2500 0.7682 0.0893
S8 0.2500 0.2682 0.4107
S9 0.4944 0.1403 0.0977
S10 0.0056 0.6403 0.4023
S11 0.9944 0.8597 0.9023
S12 0.5056 0.3597 0.5977
S13 0.5056 0.8597 0.9023
S14 0.9944 0.3597 0.5977
S15 0.0056 0.1403 0.0977
S16 0.4944 0.6403 0.4023
N1 0.7500 0.5646 0.8743
N2 0.7500 0.0646 0.6257
N3 0.2500 0.4354 0.1257
N4 0.2500 0.9354 0.3743
N5 0.7500 0.8247 0.0875
N6 0.7500 0.3247 0.4125
N7 0.2500 0.1753 0.9125
N8 0.2500 0.6753 0.5875

Record 3
# Mg3Au meta-GGA SCAN PBEsol geometry
# - symmetry = P6_3/mmc, No. 194
# - magnetic moment (μB/f.u.) = 0.00
# - E above lowest polymorph (meV per atom) = 94
# - total DFT energy (no corrections) (eV per atom) = -21.5212
# - energy of formation from the pure elements (meV per atom) = -502
# - DOS(E_F) (states/eV/cell) = 2.25
data_Mg3Au
_cell_length_a 4.7973
_cell_length_b 6.0097
_cell_length_c 6.0097
_cell_angle_alpha 119.97
_cell_angle_beta 90.00
_cell_angle_gamma 90.00
_space_group_name_H-M_alt 'P 1'
_space_group_IT_number 1
loop_
_space_group_symop_operation_xyz
'x,y,z'
loop_
_atom_site_label
_atom_site_fract_x
_atom_site_fract_y
_atom_site_fract_z
Mg1 0.7500 0.6722 0.3278
Mg2 0.7500 0.1550 0.3277
Mg3 0.7500 0.6723 0.8450
Mg4 0.2500 0.3278 0.6722
Mg5 0.2500 0.8450 0.6723
Mg6 0.2500 0.3277 0.1550
Au1 0.7500 0.1667 0.8333
Au2 0.2500 0.8333 0.1667

Record 4
# Mo2OsRh meta-GGA SCAN PBEsol geometry
# - symmetry = Pmmm, No. 47
# - magnetic moment (μB/f.u.) = 0.00
# - E above lowest polymorph (meV per atom) = 19
# - total DFT energy (no corrections) (eV per atom) = -43.9282
# - energy of formation from the pure elements (meV per atom) = -73
# - DOS(E_F) (states/eV/cell) = 3.28
data_Mo2OsRh
_cell_length_a 2.7279
_cell_length_b 3.8674
_cell_length_c 5.4723
_cell_angle_alpha 90.00
_cell_angle_beta 90.00
_cell_angle_gamma 90.00
_space_group_name_H-M_alt 'P 1'
_space_group_IT_number 1
loop_
_space_group_symop_operation_xyz
'x,y,z'
loop_
_atom_site_label
_atom_site_fract_x
_atom_site_fract_y
_atom_site_fract_z
Rh1 0.5000 0.5000 0.5000
Mo1 0.0000 0.0000 0.7538
Mo2 0.0000 0.0000 0.2462
Os1 0.5000 0.5000 0.0000

Record 5
# CaTeBr meta-GGA SCAN PBEsol geometry
# - symmetry = P3m1, No. 156
# - magnetic moment (μB/f.u.) = 0.35
# - energy relative to the elements, uncorrected (meV per atom) = -1404
# - total DFT energy (no corrections) (eV per atom) = -23.5285
# - DOS(E_F) (states/eV/cell) = 0.96
data_CaTeBr
_cell_length_a 3.8901
_cell_length_b 3.8901
_cell_length_c 7.4853
_cell_angle_alpha 90.00
_cell_angle_beta 90.00
_cell_angle_gamma 120.00
_space_group_name_H-M_alt 'P 1'
_space_group_IT_number 1
loop_
_space_group_symop_operation_xyz
'x,y,z'
loop_
_atom_site_label
_atom_site_fract_x
_atom_site_fract_y
_atom_site_fract_z
Ca1 0.3333 0.6667 0.6909
Te1 0.6667 0.3333 0.3920
Br1 0.0000 0.0000 0.9171

Record 6
# ScSi2Tc2 meta-GGA SCAN PBEsol geometry
# - symmetry = P4/mbm, No. 127
# - magnetic moment (μB/f.u.) = 0.00
# - energy relative to the elements, uncorrected (meV per atom) = -613
# - total DFT energy (no corrections) (eV per atom) = -21.4907
# - DOS(E_F) (states/eV/cell) = 3.73
data_ScSi2Tc2
_cell_length_a 2.9931
_cell_length_b 6.9298
_cell_length_c 6.9298
_cell_angle_alpha 90.00
_cell_angle_beta 90.00
_cell_angle_gamma 90.00
_space_group_name_H-M_alt 'P 1'
_space_group_IT_number 1
loop_
_space_group_symop_operation_xyz
'x,y,z'
loop_
_atom_site_label
_atom_site_fract_x
_atom_site_fract_y
_atom_site_fract_z
Sc1 0.0000 0.0000 0.0000
Sc2 0.0000 0.5000 0.5000
Si1 0.0000 0.3654 0.8654
Si2 0.0000 0.8654 0.6346
Si3 0.0000 0.6346 0.1346
Si4 0.0000 0.1346 0.3654
Tc1 0.5000 0.1549 0.6549
Tc2 0.5000 0.6549 0.8451
Tc3 0.5000 0.8451 0.3451
Tc4 0.5000 0.3451 0.1549

Record 7
# Li2CoPb meta-GGA SCAN PBEsol geometry
# - symmetry = P2/m, No. 10
# - magnetic moment (μB/f.u.) = 1.46
# - total DFT energy (no corrections) (eV per atom) = -24.3426
# - energy of formation from the pure elements (meV per atom) = 124
# - DOS(E_F) (states/eV/cell) = 1.79
data_Li2CoPb
_cell_length_a 3.0601
_cell_length_b 4.5649
_cell_length_c 4.6876
_cell_angle_alpha 90.00
_cell_angle_beta 99.68
_cell_angle_gamma 90.00
_space_group_name_H-M_alt 'P 1'
_space_group_IT_number 1
loop_
_space_group_symop_operation_xyz
'x,y,z'
loop_
_atom_site_label
_atom_site_fract_x
_atom_site_fract_y
_atom_site_fract_z
Co1 0.0000 0.5000 0.5000
Li1 0.7827 0.0000 0.7252
Li2 0.2173 0.0000 0.2748
Pb1 0.5000 0.5000 0.0000

Record 8
# CaTeAu4 meta-GGA SCAN PBEsol geometry
# - symmetry = F-43m, No. 216
# - magnetic moment (μB/f.u.) = 0.00
# - energy relative to the elements, uncorrected (meV per atom) = -521
# - total DFT energy (no corrections) (eV per atom) = -54.4447
# - DOS(E_F) (states/eV/cell) = 0.09
data_CaTeAu4
_cell_length_a 5.5709
_cell_length_b 5.5709
_cell_length_c 5.5709
_cell_angle_alpha 60.00
_cell_angle_beta 60.00
_cell_angle_gamma 60.00
_space_group_name_H-M_alt 'P 1'
_space_group_IT_number 1
loop_
_space_group_symop_operation_xyz
'x,y,z'
loop_
_atom_site_label
_atom_site_fract_x
_atom_site_fract_y
_atom_site_fract_z
Ca1 0.7500 0.7500 0.7500
Te1 0.0000 0.0000 0.0000
Au1 0.3752 0.3752 0.3752
Au2 0.3752 0.3752 0.8744
Au3 0.8744 0.3752 0.3752
Au4 0.3752 0.8744 0.3752

Record 9
# ScSb2 meta-GGA SCAN PBEsol geometry
# - symmetry = Pnnm, No. 58
# - magnetic moment (μB/f.u.) = 0.25
# - energy relative to the elements, uncorrected (meV per atom) = -459
# - total DFT energy (no corrections) (eV per atom) = -30.0452
# - DOS(E_F) (states/eV/cell) = 2.71
data_ScSb2
_cell_length_a 3.3016
_cell_length_b 6.5633
_cell_length_c 7.4788
_cell_angle_alpha 90.00
_cell_angle_beta 90.00
_cell_angle_gamma 90.00
_space_group_name_H-M_alt 'P 1'
_space_group_IT_number 1
loop_
_space_group_symop_operation_xyz
'x,y,z'
loop_
_atom_site_label
_atom_site_fract_x
_atom_site_fract_y
_atom_site_fract_z
Sb1 0.0000 0.1568 0.6319
Sb2 0.0000 0.8432 0.3681
Sb3 0.5000 0.6568 0.8681
Sb4 0.5000 0.3432 0.1319
Sc1 0.0000 0.0000 0.0000
Sc2 0.5000 0.5000 0.5000

Record 10
# Bi2PdPb meta-GGA SCAN PBEsol geometry
# - symmetry = I-42d, No. 122
# - magnetic moment (μB/f.u.) = 0.00
# - total DFT energy (no corrections) (eV per atom) = -66.3913
# - energy of formation from the pure elements (meV per atom) = 37
# - DOS(E_F) (states/eV/cell) = 3.62
data_Bi2PdPb
_cell_length_a 6.0657
_cell_length_b 6.0657
_cell_length_c 8.5322
_cell_angle_alpha 110.82
_cell_angle_beta 110.82
_cell_angle_gamma 90.00
_space_group_name_H-M_alt 'P 1'
_space_group_IT_number 1
loop_
_space_group_symop_operation_xyz
'x,y,z'
loop_
_atom_site_label
_atom_site_fract_x
_atom_site_fract_y
_atom_site_fract_z
Pb1 0.2500 0.7500 0.5000
Pb2 0.0000 0.0000 0.0000
Bi1 0.4402 0.8750 0.2500
Bi2 0.8098 0.3750 0.2500
Bi3 0.1250 0.1902 0.7500
Bi4 0.6250 0.5598 0.7500
Pd1 0.7500 0.2500 0.5000
Pd2 0.5000 0.5000 0.0000